(1)
Compound: CdNiTe
Source: Alexandria
Functional: GGA-PBE
Structure: relaxed Values from VASP.

Properties
- ΔE to the lowest computed polymorph (eV per formula unit) = 0.67
- mass density (g cm⁻³) = 7.787
- ΔE_f (raw) (eV per atom) = 0.12

Structure (Quantum ESPRESSO input):
```
&SYSTEM
  ibrav = 0, nat = 3, ntyp = 3
/
ATOMIC_SPECIES
Cd 112.41 Cd.upf
Ni 58.69 Ni.upf
Te 127.60 Te.upf
ATOMIC_POSITIONS crystal
Cd 0.0341 0.0341 0.0000
Ni 0.6758 0.6758 0.0000
Te 0.2901 0.2901 0.0000
CELL_PARAMETERS angstrom
-1.5456 1.6501 6.2436
1.5456 -1.6501 6.2436
1.5456 1.6501 -6.2436
```

***

(2)
Compound: CdNi4Te
Source: Alexandria
Functional: GGA-PBE
Structure: relaxed Values from VASP.

Properties
- mass density (g cm⁻³) = 9.156
- ΔE_f (raw) (eV per atom) = 0.14

Structure (Quantum ESPRESSO input):
```
&SYSTEM
  ibrav = 0, nat = 6, ntyp = 3
/
ATOMIC_SPECIES
Cd 112.41 Cd.upf
Ni 58.69 Ni.upf
Te 127.60 Te.upf
ATOMIC_POSITIONS crystal
Cd 0.0000 0.0000 0.0000
Ni 0.8752 0.3749 0.3749
Ni 0.3749 0.3749 0.8752
Ni 0.3749 0.8752 0.3749
Ni 0.3749 0.3749 0.3749
Te 0.7500 0.7500 0.7500
CELL_PARAMETERS angstrom
0.0000 3.5049 3.5049
3.5049 0.0000 3.5049
3.5049 3.5049 0.0000
```

***

(3)
Compound: CdNiTe2
Source: Alexandria
Functional: GGA-PBE
Structure: relaxed Values from VASP.

Properties
- mass density (g cm⁻³) = 6.911
- ΔE_f (raw) (eV per atom) = 0.07

Structure (Quantum ESPRESSO input):
```
&SYSTEM
  ibrav = 0, nat = 4, ntyp = 3
/
ATOMIC_SPECIES
Cd 112.41 Cd.upf
Ni 58.69 Ni.upf
Te 127.60 Te.upf
ATOMIC_POSITIONS crystal
Cd 0.0000 0.0000 0.5266
Ni 0.5000 0.5000 0.7751
Te 0.0000 0.0000 0.8778
Te 0.5000 0.5000 0.3205
CELL_PARAMETERS angstrom
3.2489 0.0000 0.0000
0.0000 3.9042 0.0000
0.0000 0.0000 8.0758
```

***

(4)
Compound: CdNiTe
Source: Alexandria
Functional: GGA-PBE
Structure: relaxed Values from VASP.

Properties
- ΔE to the lowest computed polymorph (eV per formula unit) = 0.39
- mass density (g cm⁻³) = 7.453
- ΔE_f (raw) (eV per atom) = 0.02

Structure (Quantum ESPRESSO input):
```
&SYSTEM
  ibrav = 0, nat = 3, ntyp = 3
/
ATOMIC_SPECIES
Cd 112.41 Cd.upf
Ni 58.69 Ni.upf
Te 127.60 Te.upf
ATOMIC_POSITIONS crystal
Cd 0.0000 0.0000 0.0597
Ni 0.6667 0.3333 0.3871
Te 0.3333 0.6667 0.5532
CELL_PARAMETERS angstrom
-2.2868 0.1979 -3.4548
-1.0192 -2.6633 3.0120
-2.5799 3.1208 1.8864
```

***

(5)
Compound: CdNiTe2
Source: Alexandria
Functional: GGA-PBE
Structure: relaxed Values from VASP.

Properties
- mass density (g cm⁻³) = 6.657
- ΔE_f (raw) (eV per atom) = -0.12

Structure (Quantum ESPRESSO input):
```
&SYSTEM
  ibrav = 0, nat = 4, ntyp = 3
/
ATOMIC_SPECIES
Cd 112.41 Cd.upf
Ni 58.69 Ni.upf
Te 127.60 Te.upf
ATOMIC_POSITIONS crystal
Cd 0.7500 0.2500 0.5000
Ni 0.2500 0.7500 0.5000
Te 0.1050 0.1050 0.0000
Te 0.3950 0.3950 0.0000
CELL_PARAMETERS angstrom
6.8241 0.0127 -0.0082
4.2121 5.3690 0.0082
-5.2269 -3.2880 2.9047
```

***

(6)
Compound: CdNiTe2
Source: Alexandria
Functional: GGA-PBE
Structure: relaxed Values from VASP.

Properties
- mass density (g cm⁻³) = 7.217
- ΔE_f (raw) (eV per atom) = -0.01

Structure (Quantum ESPRESSO input):
```
&SYSTEM
  ibrav = 0, nat = 4, ntyp = 3
/
ATOMIC_SPECIES
Cd 112.41 Cd.upf
Ni 58.69 Ni.upf
Te 127.60 Te.upf
ATOMIC_POSITIONS crystal
Cd 0.4871 0.4871 0.4871
Ni 0.7449 0.7449 0.7449
Te 0.0329 0.0329 0.0329
Te 0.2352 0.2352 0.2352
CELL_PARAMETERS angstrom
7.1630 -0.0245 -0.0149
6.0073 3.9016 -0.0149
6.0073 1.7684 3.4778
```

***

(7)
Compound: CdNiTe2
Source: Alexandria
Functional: GGA-PBE
Structure: relaxed Values from VASP.

Properties
- mass density (g cm⁻³) = 7.761
- ΔE_f (raw) (eV per atom) = 0.35

Structure (Quantum ESPRESSO input):
```
&SYSTEM
  ibrav = 0, nat = 4, ntyp = 3
/
ATOMIC_SPECIES
Cd 112.41 Cd.upf
Ni 58.69 Ni.upf
Te 127.60 Te.upf
ATOMIC_POSITIONS crystal
Cd 0.5000 0.5000 0.0000
Ni 0.5000 0.0000 0.5000
Te 0.0000 0.0000 0.0000
Te 0.0000 0.5000 0.5000
CELL_PARAMETERS angstrom
-1.3089 -2.6309 1.0992
4.9001 -2.0638 0.8953
-0.0277 2.0903 4.9701
```

***

(8)
Compound: TiCd2NiTe
Source: Alexandria
Functional: GGA-PBE
Structure: relaxed Values from VASP.

Properties
- mass density (g cm⁻³) = 5.374
- ΔE_f (raw) (eV per atom) = 1.03

Structure (Quantum ESPRESSO input):
```
&SYSTEM
  ibrav = 0, nat = 5, ntyp = 4
/
ATOMIC_SPECIES
Ni 58.69 Ni.upf
Te 127.60 Te.upf
Ti 47.87 Ti.upf
Cd 112.41 Cd.upf
ATOMIC_POSITIONS crystal
Ni 0.0000 0.5000 0.0000
Te 0.0000 0.0000 0.0000
Ti 0.5000 0.5000 0.5000
Cd 0.0000 0.0000 0.5000
Cd 0.5000 0.0000 0.0000
CELL_PARAMETERS angstrom
-3.9342 3.8321 -1.0401
-2.8984 -3.2923 -1.1668
-1.7395 -0.3471 5.3008
```

***

(9)
Compound: CdNi2TeW
Source: Alexandria
Functional: GGA-PBE
Structure: relaxed Values from VASP.

Properties
- mass density (g cm⁻³) = 7.816
- ΔE_f (raw) (eV per atom) = 1.63

Structure (Quantum ESPRESSO input):
```
&SYSTEM
  ibrav = 0, nat = 5, ntyp = 4
/
ATOMIC_SPECIES
Ni 58.69 Ni.upf
Te 127.60 Te.upf
W 183.84 W.upf
Cd 112.41 Cd.upf
ATOMIC_POSITIONS crystal
Ni 0.0000 0.0000 0.5000
Ni 0.5000 0.0000 0.0000
Te 0.0000 0.0000 0.0000
W 0.5000 0.5000 0.5000
Cd 0.0000 0.5000 0.0000
CELL_PARAMETERS angstrom
-0.6438 -2.5214 -3.7986
5.1517 -1.6795 0.2417
-1.2886 -3.5792 2.5942
```

***

(10)
Compound: ThCdNi
Source: Alexandria
Functional: GGA-PBE
Structure: relaxed Values from VASP.

Properties
- energy of formation from the pure elements (eV/atom) = -0.326
- mass density (g cm⁻³) = 10.129

Structure (Quantum ESPRESSO input):
```
&SYSTEM
  ibrav = 0, nat = 6, ntyp = 3
/
ATOMIC_SPECIES
Ni 58.69 Ni.upf
Cd 112.41 Cd.upf
Th 232.04 Th.upf
ATOMIC_POSITIONS crystal
Ni 0.7757 0.1624 0.5514
Ni 0.2243 0.8376 0.4486
Cd 0.5802 0.7826 0.1603
Cd 0.4198 0.2174 0.8397
Th 0.8635 0.6981 0.7270
Th 0.1365 0.3019 0.2730
CELL_PARAMETERS angstrom
-3.2317 -1.7605 2.3455
2.9558 0.1852 4.2116
-1.0801 6.2191 -0.8800
```

***

(11)
Compound: ThCdNi
Source: Alexandria
Functional: GGA-PBE
Structure: relaxed Values from VASP.

Properties
- energy of formation from the pure elements (eV/atom) = -0.394
- mass density (g cm⁻³) = 10.050

Structure (Quantum ESPRESSO input):
```
&SYSTEM
  ibrav = 0, nat = 6, ntyp = 3
/
ATOMIC_SPECIES
Th 232.04 Th.upf
Cd 112.41 Cd.upf
Ni 58.69 Ni.upf
ATOMIC_POSITIONS crystal
Th 0.5894 0.7500 0.1787
Th 0.4106 0.2500 0.8213
Cd 0.7913 0.7500 0.5826
Cd 0.2087 0.2500 0.4174
Ni 0.9525 0.7500 0.9050
Ni 0.0475 0.2500 0.0950
CELL_PARAMETERS angstrom
-2.1052 -2.6439 -1.5607
2.5598 -0.1004 -3.2829
5.7780 -4.7249 4.6498
```

***

(12)
Compound: Th2Cd2Ni15
Source: Alexandria
Functional: GGA-PBE
Structure: relaxed Values from VASP.

Properties
- energy of formation from the pure elements (eV/atom) = -0.192
- mass density (g cm⁻³) = 9.964

Structure (Quantum ESPRESSO input):
```
&SYSTEM
  ibrav = 0, nat = 19, ntyp = 3
/
ATOMIC_SPECIES
Th 232.04 Th.upf
Cd 112.41 Cd.upf
Ni 58.69 Ni.upf
ATOMIC_POSITIONS crystal
Th 0.3509 0.3509 0.3509
Th 0.6491 0.6491 0.6491
Cd 0.1026 0.1026 0.1026
Cd 0.8974 0.8974 0.8974
Ni 0.5000 0.0000 0.0000
Ni 0.0000 0.0000 0.5000
Ni 0.0000 0.5000 0.0000
Ni 0.0000 0.6928 0.3072
Ni 0.6928 0.3072 0.0000
Ni 0.3072 0.0000 0.6928
Ni 0.3072 0.6928 0.0000
Ni 0.6928 0.0000 0.3072
Ni 0.0000 0.3072 0.6928
Ni 0.1618 0.6529 0.6529
Ni 0.6529 0.6529 0.1618
Ni 0.6529 0.1618 0.6529
Ni 0.8382 0.3471 0.3471
Ni 0.3471 0.3471 0.8382
Ni 0.3471 0.8382 0.3471
CELL_PARAMETERS angstrom
6.4474 0.0079 0.0070
0.8443 6.3919 0.0070
0.8443 0.7410 6.3488
```

***

The lowest mass density belongs to which entry?
TiCd2NiTe